# 1
A geometry-optimized RbTeRuPt2 structure. Source: the Alexandria database, functional PBE.

Cell: 5.033 6.276 5.033 Å, 90.00 90.00 90.00°
Each line ends with the local moment (μB).
Positions (direct):
Ru: 0.500 0.500 0.500  2.48
Te: 0.000 0.000 0.000  0.01
Rb: 0.000 0.500 0.000  -0.01
Pt: 0.000 0.000 0.500  0.04
Pt: 0.500 0.000 0.000  0.02

Summary:
Total magnetization, μB/f.u.: 2.9
DOS(E_F), states/eV/atom: 0.857
E_tot, eV/atom: -3.751
Formation energy (no corrections), meV/atom: 1342


# 2
A geometry-optimized SrTmCu10 structure. Source: the Alexandria database, functional PBE.

Cell: 4.038 5.177 8.881 Å, 90.00 90.00 90.00°
Positions (direct):
Sr: 0.000 0.500 0.500
Tm: 0.000 0.000 0.000
Cu: 0.000 0.000 0.323
Cu: 0.000 0.500 0.842
Cu: 0.000 0.500 0.158
Cu: 0.000 0.000 0.677
Cu: 0.500 0.000 0.500
Cu: 0.500 0.500 0.000
Cu: 0.500 0.242 0.238
Cu: 0.500 0.758 0.762
Cu: 0.500 0.758 0.238
Cu: 0.500 0.242 0.762

Summary:
Total magnetization, μB/f.u.: 0.0
DOS(E_F), states/eV/atom: 0.517
E_tot, eV/atom: -4.056
ΔH_f (0 K), eV per atom: -0.1301


# 3
A geometry-optimized YHgO3 structure. Source: the Alexandria database, functional PBE.

Cell: 4.183 4.183 4.183 Å, 90.00 90.00 90.00°
Positions (direct):
Y: 0.500 0.500 0.500
Hg: 0.000 0.000 0.000
O: 0.000 0.500 0.000
O: 0.000 0.000 0.500
O: 0.500 0.000 0.000

Summary:
Total magnetization, μB/f.u.: 0.0
DOS(E_F), states/eV/atom: 0.148
E_tot, eV/atom: -5.262
Formation energy (no corrections), meV/atom: -934